# 1
The following is a GGA-PBE calculation of BeS after structural relaxation, from Alexandria.

Calculated values
- raw formation energy (eV per atom) = -0.8710
- DFT total energy (eV/atom) = -4.798
- space-group type = P2_12_12_1
- total moment (μB/f.u.) = 0.0
- energy above the most stable polymorph in this dataset (meV per atom) = 196
- DOS(E_F) (states/eV per atom) = 0.00

Cell: 6.1576 6.3103 6.9218 Å, 90.00 90.00 90.00°
Sites, in units of the cell vectors:
Be  0.3406  0.1076  0.0318
Be  0.8406  0.3924  0.9682
Be  0.6594  0.6076  0.4682
Be  0.1594  0.8924  0.5318
Be  0.3691  0.5656  0.7471
Be  0.8691  0.9344  0.2529
Be  0.6309  0.0656  0.7529
Be  0.1309  0.4344  0.2471
S  0.6897  0.1093  0.0559
S  0.1897  0.3907  0.9441
S  0.3103  0.6093  0.4441
S  0.8103  0.8907  0.5559
S  0.3320  0.9039  0.7909
S  0.8320  0.5961  0.2092
S  0.6680  0.4039  0.7091
S  0.1680  0.0961  0.2908

---

# 2
The following is a GGA-PBE calculation of Er4ScIn2 after structural relaxation, from Alexandria.

Calculated values
- DFT total energy (eV/atom) = -4.274
- space-group type = R-3m
- total moment (μB/f.u.) = 0.6
- formation energy (kcal/mol of atoms) = 0.46
- energy above the most stable polymorph in this dataset (meV per atom) = 0
- DOS(E_F) (states/eV per atom) = 1.74

Cell: 5.3838 5.3838 9.0591 Å, 72.71 72.71 60.00°
Last column: magnetic moment on the atom in μB.
Sites, in units of the cell vectors:
Er  0.7346  0.7346  0.7963  0.05
Er  0.8702  0.8702  0.3893  0.10
Er  0.2654  0.2654  0.2037  0.05
Er  0.1298  0.1298  0.6107  0.10
Sc  0.5000  0.5000  0.5000  0.12
In  0.6138  0.6138  0.1585  0.01
In  0.3862  0.3862  0.8415  0.01

---

# 3
The following is a GGA-PBE calculation of GeIrSe2 after structural relaxation, from Alexandria.

Calculated values
- raw formation energy (eV per atom) = 0.1801
- DFT total energy (eV/atom) = -4.932
- space-group type = I-42d
- total moment (μB/f.u.) = 0.0
- DOS(E_F) (states/eV per atom) = 0.80

Cell: 5.9248 5.9248 7.0863 Å, 65.29 65.29 90.00°
Sites, in units of the cell vectors:
Ge  0.5000  0.5000  0.0000
Ge  0.2500  0.7500  0.5000
Ir  0.0000  0.0000  0.0000
Ir  0.7500  0.2500  0.5000
Se  0.6630  0.1250  0.2500
Se  0.0870  0.6250  0.2500
Se  0.3750  0.3370  0.7500
Se  0.8750  0.9130  0.7500

---

# 4
The following is a GGA-PBE calculation of HPbN2F after structural relaxation, from Alexandria.

Calculated values
- DFT total energy (eV/atom) = -3.674
- space-group type = P4/mmm
- total moment (μB/f.u.) = 4.4
- energy above the most stable polymorph in this dataset (meV per atom) = 404
- DOS(E_F) (states/eV per atom) = 0.39

Cell: 4.5993 4.5993 4.5693 Å, 90.00 90.00 90.00°
Last column: magnetic moment on the atom in μB.
Sites, in units of the cell vectors:
Pb  0.0000  0.0000  0.0000  -0.03
H  0.5000  0.5000  0.5000  0.38
N  0.0000  0.5000  0.0000  1.14
N  0.5000  0.0000  0.0000  1.14
F  0.0000  0.0000  0.5000  0.06

---

# 5
The following is a GGA-PBE calculation of KCe2OsN4 after structural relaxation, from Alexandria.

Calculated values
- raw formation energy (eV per atom) = -0.7563
- DFT total energy (eV/atom) = -7.943
- space-group type = Cmcm
- total moment (μB/f.u.) = 0.0
- DOS(E_F) (states/eV per atom) = 0.38

Cell: 3.5553 6.5174 12.3498 Å, 90.00 90.00 105.83°
Sites, in units of the cell vectors:
K  0.0681  0.1361  0.7500
K  0.9319  0.8639  0.2500
Ce  0.3682  0.7365  0.5469
Ce  0.6318  0.2635  0.0469
Ce  0.6318  0.2635  0.4531
Ce  0.3682  0.7365  0.9531
Os  0.7993  0.5986  0.7500
Os  0.2007  0.4014  0.2500
N  0.2459  0.4917  0.0985
N  0.7541  0.5083  0.5985
N  0.7541  0.5083  0.9015
N  0.2459  0.4917  0.4015
N  0.0000  0.0000  0.5000
N  0.0000  0.0000  0.0000
N  0.3686  0.7371  0.7500
N  0.6314  0.2629  0.2500

---

# 6
The following is a GGA-PBE calculation of BaScP2 after structural relaxation, from Alexandria.

Calculated values
- DFT total energy (eV/atom) = -5.626
- space-group type = P4/mmm
- total moment (μB/f.u.) = 0.0
- formation energy (kcal/mol of atoms) = -19.78
- energy above the most stable polymorph in this dataset (meV per atom) = 131
- DOS(E_F) (states/eV per atom) = 0.73

Cell: 3.6766 3.6766 6.5836 Å, 90.00 90.00 90.04°
Sites, in units of the cell vectors:
Ba  0.5000  0.5000  0.7500
P  0.0000  0.0000  0.0749
P  0.0000  0.0000  0.4251
Sc  0.5000  0.5000  0.2500

---

# 7
The following is a GGA-PBE calculation of Tb2CdCu2Pt5 after structural relaxation, from Alexandria.

Calculated values
- DFT total energy (eV/atom) = -5.633
- space-group type = P4/mbm
- total moment (μB/f.u.) = 0.0
- formation energy (kcal/mol of atoms) = -17.89
- DOS(E_F) (states/eV per atom) = 0.34

Cell: 3.9715 9.4007 9.4007 Å, 90.00 90.00 90.00°
Sites, in units of the cell vectors:
Tb  0.0000  0.6760  0.1760
Tb  0.0000  0.3240  0.8240
Tb  0.0000  0.1760  0.3240
Tb  0.0000  0.8240  0.6760
Cd  0.0000  0.0000  0.0000
Cd  0.0000  0.5000  0.5000
Cu  0.0000  0.1206  0.6206
Cu  0.0000  0.8794  0.3794
Cu  0.0000  0.6206  0.8794
Cu  0.0000  0.3794  0.1206
Pt  0.5000  0.2086  0.0716
Pt  0.5000  0.7914  0.9284
Pt  0.5000  0.0716  0.7914
Pt  0.5000  0.7086  0.4284
Pt  0.5000  0.9284  0.2086
Pt  0.5000  0.2914  0.5716
Pt  0.5000  0.5716  0.7086
Pt  0.5000  0.4284  0.2914
Pt  0.5000  0.5000  0.0000
Pt  0.5000  0.0000  0.5000

---

# 8
The following is a GGA-PBE calculation of ZnTc2Br after structural relaxation, from Alexandria.

Calculated values
- raw formation energy (eV per atom) = 0.8705
- DFT total energy (eV/atom) = -5.049
- space-group type = F-43m
- total moment (μB/f.u.) = 0.1
- energy above the most stable polymorph in this dataset (meV per atom) = 720
- DOS(E_F) (states/eV per atom) = 0.83

Cell: 4.4899 4.4899 4.4899 Å, 60.00 60.00 60.00°
Last column: magnetic moment on the atom in μB.
Sites, in units of the cell vectors:
Br  0.5000  0.5000  0.5000  0.01
Tc  0.0000  0.0000  0.0000  0.10
Tc  0.7500  0.7500  0.7500  -0.02
Zn  0.2500  0.2500  0.2500  0.00

---

# 9
The following is a GGA-PBE calculation of CaEuHgP after structural relaxation, from Alexandria.

Calculated values
- DFT total energy (eV/atom) = -5.174
- space-group type = F-43m
- total moment (μB/f.u.) = 7.2
- formation energy (kcal/mol of atoms) = -15.61
- DOS(E_F) (states/eV per atom) = 0.70

Cell: 5.2395 5.2395 5.2395 Å, 60.00 60.00 60.00°
Last column: magnetic moment on the atom in μB.
Sites, in units of the cell vectors:
Eu  0.7500  0.7500  0.7500  6.84
P  0.0000  0.0000  0.0000  -0.03
Ca  0.2500  0.2500  0.2500  0.03
Hg  0.5000  0.5000  0.5000  0.04

---

# 10
The following is a GGA-PBE calculation of Pm2DyYTm after structural relaxation, from Alexandria.

Calculated values
- DFT total energy (eV/atom) = -4.606
- space-group type = Cmcm
- total moment (μB/f.u.) = 0.0
- formation energy (kcal/mol of atoms) = 9.27
- DOS(E_F) (states/eV per atom) = 1.36

Cell: 7.2400 8.3806 7.1321 Å, 125.98 90.00 90.00°
Sites, in units of the cell vectors:
Pm  0.5000  0.3055  0.0000
Pm  0.0000  0.6945  0.0000
Pm  0.5000  0.6945  0.0000
Pm  0.0000  0.3055  0.0000
Dy  0.2500  0.7159  0.4317
Dy  0.7500  0.2841  0.5683
Y  0.7500  0.7395  0.4790
Y  0.2500  0.2605  0.5210
Tm  0.2500  0.9814  0.9628
Tm  0.7500  0.0186  0.0372

---

# 11
The following is a GGA-PBE calculation of Li2CaCeS4 after structural relaxation, from Alexandria.

Calculated values
- raw formation energy (eV per atom) = -1.6879
- DFT total energy (eV/atom) = -5.222
- space-group type = P2/m
- total moment (μB/f.u.) = 0.0

Cell: 4.0235 6.5068 6.8504 Å, 70.13 90.00 90.00°
Sites, in units of the cell vectors:
Li  0.0000  0.0000  0.0000
Li  0.5000  0.0000  0.5000
Ca  0.5000  0.5000  0.0000
Ce  0.0000  0.5000  0.5000
S  0.0000  0.7513  0.7401
S  0.0000  0.2487  0.2599
S  0.5000  0.7535  0.2592
S  0.5000  0.2465  0.7408

---

# 12
The following is a GGA-PBE calculation of SmMg2Au after structural relaxation, from Alexandria.

Calculated values
- DFT total energy (eV/atom) = -3.146
- space-group type = P4/mmm
- total moment (μB/f.u.) = 0.0
- formation energy (kcal/mol of atoms) = -8.05
- DOS(E_F) (states/eV per atom) = 0.75

Cell: 4.9793 4.3545 4.3545 Å, 90.00 90.00 90.00°
Sites, in units of the cell vectors:
Mg  0.0000  0.0000  0.5000
Mg  0.0000  0.5000  0.0000
Au  0.5000  0.5000  0.5000
Sm  0.5000  0.0000  0.0000

---

total moment of number 2 (Er4ScIn2)? 0.6 μB/f.u.

---

Please write out number 4 again, unchanged.
The following is a GGA-PBE calculation of HPbN2F after structural relaxation, from Alexandria.

Calculated values
- DFT total energy (eV/atom) = -3.674
- space-group type = P4/mmm
- total moment (μB/f.u.) = 4.4
- energy above the most stable polymorph in this dataset (meV per atom) = 404
- DOS(E_F) (states/eV per atom) = 0.39

Cell: 4.5993 4.5993 4.5693 Å, 90.00 90.00 90.00°
Last column: magnetic moment on the atom in μB.
Sites, in units of the cell vectors:
Pb  0.0000  0.0000  0.0000  -0.03
H  0.5000  0.5000  0.5000  0.38
N  0.0000  0.5000  0.0000  1.14
N  0.5000  0.0000  0.0000  1.14
F  0.0000  0.0000  0.5000  0.06

---

Which value of total moment does entry 2 give? 0.6 μB/f.u.